[1]
# SrTlCu3 (PBE, optimized geometry)
# - formation energy from the elements (eV per atom) = 0.334
# - mass density (g/cm³) = 6.453
# - total magnetic moment (μB per atom) = 0.00
# - crystal system = cubic
# - final energy (eV per atom) = -2.933
data_SrTlCu3
_chemical_formula_sum 'Sr1 Tl1 Cu3'
_symmetry_space_group_name_H-M 'P m -3 m'
_symmetry_Int_Tables_number 221
_symmetry_space_group_name_Hall '-P 4 2 3'
_cell_length_a 4.9892
_cell_length_b 4.9892
_cell_length_c 4.9892
_cell_angle_alpha 90.00
_cell_angle_beta 90.00
_cell_angle_gamma 90.00
loop_
_atom_site_label
_atom_site_fract_x
_atom_site_fract_y
_atom_site_fract_z
_atom_site_occupancy
Sr1 0.0000 0.0000 0.0000 1
Tl1 0.5000 0.5000 0.5000 1
Cu1 0.0000 0.5000 0.5000 1

[2]
# SrTl4Cu (PBE, optimized geometry)
# - formation energy from the elements (eV per atom) = 0.178
# - mass density (g/cm³) = 8.599
# - total magnetic moment (μB per atom) = 0.00
# - crystal system = cubic
# - final energy (eV per atom) = -2.363
data_SrTl4Cu
_chemical_formula_sum 'Sr4 Tl16 Cu4'
_symmetry_space_group_name_H-M 'F -4 3 m'
_symmetry_Int_Tables_number 216
_symmetry_space_group_name_Hall 'F -4 2 3'
_cell_length_a 9.0786
_cell_length_b 9.0786
_cell_length_c 9.0786
_cell_angle_alpha 90.00
_cell_angle_beta 90.00
_cell_angle_gamma 90.00
loop_
_atom_site_label
_atom_site_fract_x
_atom_site_fract_y
_atom_site_fract_z
_atom_site_occupancy
Sr1 0.0000 0.0000 0.0000 1
Tl1 0.1244 0.1244 0.6244 1
Cu1 0.2500 0.2500 0.2500 1

[3]
# SrTlCu (PBE, optimized geometry)
# - formation energy from the elements (eV per atom) = 0.391
# - mass density (g/cm³) = 5.825
# - total magnetic moment (μB per atom) = 0.00
# - crystal system = cubic
# - final energy (eV per atom) = -2.323
data_SrTlCu
_chemical_formula_sum 'Sr4 Tl4 Cu4'
_symmetry_space_group_name_H-M 'F -4 3 m'
_symmetry_Int_Tables_number 216
_symmetry_space_group_name_Hall 'F -4 2 3'
_cell_length_a 7.4013
_cell_length_b 7.4013
_cell_length_c 7.4013
_cell_angle_alpha 90.00
_cell_angle_beta 90.00
_cell_angle_gamma 90.00
loop_
_atom_site_label
_atom_site_fract_x
_atom_site_fract_y
_atom_site_fract_z
_atom_site_occupancy
Sr1 0.0000 0.0000 0.0000 1
Tl1 0.2500 0.2500 0.7500 1
Cu1 0.2500 0.2500 0.2500 1

[4]
# SrTl2Cu2 (PBE, optimized geometry)
# - formation energy from the elements (eV per atom) = 0.078
# - mass density (g/cm³) = 8.600
# - total magnetic moment (μB per atom) = 0.00
# - crystal system = tetragonal
# - final energy (eV per atom) = -2.844
data_SrTl2Cu2
_chemical_formula_sum 'Sr2 Tl4 Cu4'
_symmetry_space_group_name_H-M 'P 4/m b m'
_symmetry_Int_Tables_number 127
_symmetry_space_group_name_Hall '-P 4 2ab'
_cell_length_a 7.7948
_cell_length_b 7.7948
_cell_length_c 3.9626
_cell_angle_alpha 90.00
_cell_angle_beta 90.00
_cell_angle_gamma 90.00
loop_
_atom_site_label
_atom_site_fract_x
_atom_site_fract_y
_atom_site_fract_z
_atom_site_occupancy
Sr1 0.0000 0.0000 0.0000 1
Tl1 0.1711 0.3289 0.5000 1
Cu1 0.1125 0.6125 0.0000 1

[5]
# Sr8Tl2Cu (PBE, optimized geometry)
# - formation energy from the elements (eV per atom) = -0.140
# - mass density (g/cm³) = 4.000
# - total magnetic moment (μB per atom) = 0.00
# - crystal system = monoclinic
# - final energy (eV per atom) = -2.166
data_Sr8Tl2Cu
_chemical_formula_sum 'Sr16 Tl4 Cu2'
_symmetry_space_group_name_H-M 'C 1 2/m 1'
_symmetry_Int_Tables_number 12
_cell_length_a 20.7113
_cell_length_b 4.4328
_cell_length_c 10.7112
_cell_angle_alpha 90.00
_cell_angle_beta 97.87
_cell_angle_gamma 90.00
loop_
_symmetry_equiv_pos_as_xyz
'x,y,z'
'-x,-y,-z'
'-x,y,-z'
'x,-y,z'
'x+1/2,y+1/2,z'
'-x+1/2,-y+1/2,-z'
'-x+1/2,y+1/2,-z'
'x+1/2,-y+1/2,z'
loop_
_atom_site_label
_atom_site_fract_x
_atom_site_fract_y
_atom_site_fract_z
_atom_site_occupancy
Sr1 0.0070 0.0000 0.2001 1
Sr2 0.0971 0.5000 0.5630 1
Sr3 0.1559 0.5000 0.9981 1
Sr4 0.2081 0.0000 0.3376 1
Tl1 0.1864 0.0000 0.7643 1
Cu1 0.0000 0.5000 0.0000 1

[6]
# SrTl2Cu2 (PBE, optimized geometry)
# - formation energy from the elements (eV per atom) = 0.175
# - mass density (g/cm³) = 8.632
# - total magnetic moment (μB per atom) = 0.00
# - crystal system = tetragonal
# - final energy (eV per atom) = -2.746
data_SrTl2Cu2
_chemical_formula_sum 'Sr2 Tl4 Cu4'
_symmetry_space_group_name_H-M 'P 4/m b m'
_symmetry_Int_Tables_number 127
_symmetry_space_group_name_Hall '-P 4 2ab'
_cell_length_a 8.3493
_cell_length_b 8.3493
_cell_length_c 3.4412
_cell_angle_alpha 90.00
_cell_angle_beta 90.00
_cell_angle_gamma 90.00
loop_
_atom_site_label
_atom_site_fract_x
_atom_site_fract_y
_atom_site_fract_z
_atom_site_occupancy
Sr1 0.0000 0.0000 0.0000 1
Tl1 0.1328 0.3672 0.0000 1
Cu1 0.1638 0.6638 0.5000 1

[7]
# Sr2Tl2Cu (PBE, optimized geometry)
# - formation energy from the elements (eV per atom) = -0.106
# - mass density (g/cm³) = 6.793
# - total magnetic moment (μB per atom) = 0.00
# - crystal system = tetragonal
# - final energy (eV per atom) = -2.544
data_Sr2Tl2Cu
_chemical_formula_sum 'Sr4 Tl4 Cu2'
_symmetry_space_group_name_H-M 'P 4/m b m'
_symmetry_Int_Tables_number 127
_symmetry_space_group_name_Hall '-P 4 2ab'
_cell_length_a 7.9046
_cell_length_b 7.9046
_cell_length_c 5.0666
_cell_angle_alpha 90.00
_cell_angle_beta 90.00
_cell_angle_gamma 90.00
loop_
_atom_site_label
_atom_site_fract_x
_atom_site_fract_y
_atom_site_fract_z
_atom_site_occupancy
Sr1 0.1681 0.3319 0.0000 1
Tl1 0.1418 0.6418 0.5000 1
Cu1 0.0000 0.0000 0.5000 1

[8]
# Sr8Tl2Cu (PBE, optimized geometry)
# - formation energy from the elements (eV per atom) = -0.153
# - mass density (g/cm³) = 4.367
# - total magnetic moment (μB per atom) = 0.00
# - crystal system = monoclinic
# - final energy (eV per atom) = -2.178
data_Sr8Tl2Cu
_chemical_formula_sum 'Sr16 Tl4 Cu2'
_symmetry_space_group_name_H-M 'C 1 2/m 1'
_symmetry_Int_Tables_number 12
_cell_length_a 20.4599
_cell_length_b 5.8005
_cell_length_c 7.8746
_cell_angle_alpha 90.00
_cell_angle_beta 107.30
_cell_angle_gamma 90.00
loop_
_symmetry_equiv_pos_as_xyz
'x,y,z'
'-x,-y,-z'
'-x,y,-z'
'x,-y,z'
'x+1/2,y+1/2,z'
'-x+1/2,-y+1/2,-z'
'-x+1/2,y+1/2,-z'
'x+1/2,-y+1/2,z'
loop_
_atom_site_label
_atom_site_fract_x
_atom_site_fract_y
_atom_site_fract_z
_atom_site_occupancy
Sr1 0.0289 0.0000 0.2930 1
Sr2 0.0942 0.5000 0.9327 1
Sr3 0.1585 0.5000 0.4604 1
Sr4 0.2083 0.0000 0.8079 1
Tl1 0.1836 0.0000 0.2138 1
Cu1 0.0000 0.5000 0.5000 1

[9]
# SrTlCu (PBE, optimized geometry)
# - formation energy from the elements (eV per atom) = -0.054
# - mass density (g/cm³) = 7.431
# - total magnetic moment (μB per atom) = 0.00
# - crystal system = tetragonal
# - final energy (eV per atom) = -2.769
data_SrTlCu
_chemical_formula_sum 'Sr2 Tl2 Cu2'
_symmetry_space_group_name_H-M 'I 4 m m'
_symmetry_Int_Tables_number 107
_symmetry_space_group_name_Hall 'I 4 -2'
_cell_length_a 3.7911
_cell_length_b 3.7911
_cell_length_c 11.0560
_cell_angle_alpha 90.00
_cell_angle_beta 90.00
_cell_angle_gamma 90.00
loop_
_atom_site_label
_atom_site_fract_x
_atom_site_fract_y
_atom_site_fract_z
_atom_site_occupancy
Sr1 0.0000 0.0000 0.0000 1
Tl1 0.0000 0.0000 0.7047 1
Cu1 0.0000 0.0000 0.3136 1

[10]
# SrTlCu (PBE, optimized geometry)
# - formation energy from the elements (eV per atom) = -0.053
# - mass density (g/cm³) = 6.755
# - total magnetic moment (μB per atom) = 0.00
# - crystal system = cubic
# - final energy (eV per atom) = -2.768
data_SrTlCu
_chemical_formula_sum 'Sr4 Tl4 Cu4'
_symmetry_space_group_name_H-M 'F -4 3 m'
_symmetry_Int_Tables_number 216
_symmetry_space_group_name_Hall 'F -4 2 3'
_cell_length_a 7.0448
_cell_length_b 7.0448
_cell_length_c 7.0448
_cell_angle_alpha 90.00
_cell_angle_beta 90.00
_cell_angle_gamma 90.00
loop_
_atom_site_label
_atom_site_fract_x
_atom_site_fract_y
_atom_site_fract_z
_atom_site_occupancy
Sr1 0.0000 0.0000 0.0000 1
Tl1 0.0000 0.0000 0.5000 1
Cu1 0.2500 0.2500 0.7500 1

[11]
# SrTl2Cu2 (PBE, optimized geometry)
# - formation energy from the elements (eV per atom) = -0.048
# - mass density (g/cm³) = 8.595
# - total magnetic moment (μB per atom) = 0.00
# - crystal system = tetragonal
# - final energy (eV per atom) = -2.969
data_SrTl2Cu2
_chemical_formula_sum 'Sr2 Tl4 Cu4'
_symmetry_space_group_name_H-M 'I 4/m m m'
_symmetry_Int_Tables_number 139
_symmetry_space_group_name_Hall '-I 4 2'
_cell_length_a 4.5927
_cell_length_b 4.5927
_cell_length_c 11.4220
_cell_angle_alpha 90.00
_cell_angle_beta 90.00
_cell_angle_gamma 90.00
loop_
_atom_site_label
_atom_site_fract_x
_atom_site_fract_y
_atom_site_fract_z
_atom_site_occupancy
Sr1 0.0000 0.0000 0.0000 1
Tl1 0.0000 0.5000 0.2500 1
Cu1 0.0000 0.0000 0.3944 1

[12]
# SrTlCu2 (PBE, optimized geometry)
# - formation energy from the elements (eV per atom) = -0.041
# - mass density (g/cm³) = 7.231
# - total magnetic moment (μB per atom) = 0.00
# - crystal system = trigonal
# - final energy (eV per atom) = -3.101
data_SrTlCu2
_chemical_formula_sum 'Sr3 Tl3 Cu6'
_symmetry_space_group_name_H-M 'R -3 m'
_symmetry_Int_Tables_number 166
_symmetry_space_group_name_Hall '-R 3 2"'
_cell_length_a 4.6006
_cell_length_b 4.6006
_cell_length_c 15.7517
_cell_angle_alpha 90.00
_cell_angle_beta 90.00
_cell_angle_gamma 120.00
loop_
_atom_site_label
_atom_site_fract_x
_atom_site_fract_y
_atom_site_fract_z
_atom_site_occupancy
Sr1 0.0000 0.0000 0.0000 1
Tl1 0.0000 0.0000 0.5000 1
Cu1 0.0000 0.0000 0.1948 1

[13]
# SrTmTlCu (PBE, optimized geometry)
# - formation energy from the elements (eV per atom) = -0.120
# - mass density (g/cm³) = 8.131
# - total magnetic moment (μB per atom) = 0.00
# - crystal system = cubic
# - final energy (eV per atom) = -3.274
data_SrTmTlCu
_chemical_formula_sum 'Sr4 Tm4 Tl4 Cu4'
_symmetry_space_group_name_H-M 'F -4 3 m'
_symmetry_Int_Tables_number 216
_symmetry_space_group_name_Hall 'F -4 2 3'
_cell_length_a 7.5386
_cell_length_b 7.5386
_cell_length_c 7.5386
_cell_angle_alpha 90.00
_cell_angle_beta 90.00
_cell_angle_gamma 90.00
loop_
_atom_site_label
_atom_site_fract_x
_atom_site_fract_y
_atom_site_fract_z
_atom_site_occupancy
Sr1 0.0000 0.0000 0.0000 1
Tm1 0.0000 0.0000 0.5000 1
Tl1 0.2500 0.2500 0.2500 1
Cu1 0.2500 0.2500 0.7500 1

[14]
# SrTlZn2Cu (PBE, optimized geometry)
# - formation energy from the elements (eV per atom) = -0.025
# - mass density (g/cm³) = 6.680
# - total magnetic moment (μB per atom) = 0.00
# - crystal system = tetragonal
# - final energy (eV per atom) = -2.163
data_SrTlZn2Cu
_chemical_formula_sum 'Sr1 Tl1 Zn2 Cu1'
_symmetry_space_group_name_H-M 'P 4/m m m'
_symmetry_Int_Tables_number 123
_symmetry_space_group_name_Hall '-P 4 2'
_cell_length_a 4.8382
_cell_length_b 4.8382
_cell_length_c 5.1651
_cell_angle_alpha 90.00
_cell_angle_beta 90.00
_cell_angle_gamma 90.00
loop_
_atom_site_label
_atom_site_fract_x
_atom_site_fract_y
_atom_site_fract_z
_atom_site_occupancy
Sr1 0.0000 0.0000 0.0000 1
Tl1 0.5000 0.5000 0.0000 1
Zn1 0.0000 0.5000 0.5000 1
Cu1 0.5000 0.5000 0.5000 1

[15]
# SrTmCu (PBE, optimized geometry)
# - formation energy from the elements (eV per atom) = -0.031
# - mass density (g/cm³) = 6.191
# - total magnetic moment (μB per atom) = 0.00
# - crystal system = tetragonal
# - final energy (eV per atom) = -3.448
data_SrTmCu
_chemical_formula_sum 'Sr2 Tm2 Cu2'
_symmetry_space_group_name_H-M 'I 4 m m'
_symmetry_Int_Tables_number 107
_symmetry_space_group_name_Hall 'I 4 -2'
_cell_length_a 3.6255
_cell_length_b 3.6255
_cell_length_c 13.0632
_cell_angle_alpha 90.00
_cell_angle_beta 90.00
_cell_angle_gamma 90.00
loop_
_atom_site_label
_atom_site_fract_x
_atom_site_fract_y
_atom_site_fract_z
_atom_site_occupancy
Sr1 0.0000 0.0000 0.0000 1
Tm1 0.0000 0.0000 0.2673 1
Cu1 0.0000 0.0000 0.6669 1

[16]
# SrTm2Cu (PBE, optimized geometry)
# - formation energy from the elements (eV per atom) = 0.221
# - mass density (g/cm³) = 6.272
# - total magnetic moment (μB per atom) = 0.00
# - crystal system = trigonal
# - final energy (eV per atom) = -3.459
data_SrTm2Cu
_chemical_formula_sum 'Sr3 Tm6 Cu3'
_symmetry_space_group_name_H-M 'R -3 m'
_symmetry_Int_Tables_number 166
_symmetry_space_group_name_Hall '-R 3 2"'
_cell_length_a 3.7365
_cell_length_b 3.7365
_cell_length_c 32.1241
_cell_angle_alpha 90.00
_cell_angle_beta 90.00
_cell_angle_gamma 120.00
loop_
_atom_site_label
_atom_site_fract_x
_atom_site_fract_y
_atom_site_fract_z
_atom_site_occupancy
Sr1 0.0000 0.0000 0.0000 1
Tm1 0.0000 0.0000 0.1122 1
Cu1 0.0000 0.0000 0.5000 1

[17]
# Sr2TmCu9 (PBE, optimized geometry)
# - formation energy from the elements (eV per atom) = -0.058
# - mass density (g/cm³) = 7.437
# - total magnetic moment (μB per atom) = 0.00
# - crystal system = trigonal
# - final energy (eV per atom) = -3.783
data_Sr2TmCu9
_chemical_formula_sum 'Sr6 Tm3 Cu27'
_symmetry_space_group_name_H-M 'R -3 m'
_symmetry_Int_Tables_number 166
_symmetry_space_group_name_Hall '-R 3 2"'
_cell_length_a 5.2045
_cell_length_b 5.2045
_cell_length_c 26.1588
_cell_angle_alpha 90.00
_cell_angle_beta 90.00
_cell_angle_gamma 120.00
loop_
_atom_site_label
_atom_site_fract_x
_atom_site_fract_y
_atom_site_fract_z
_atom_site_occupancy
Sr1 0.0000 0.0000 0.1392 1
Tm1 0.0000 0.0000 0.0000 1
Cu1 0.0000 0.0000 0.3318 1
Cu2 0.0000 0.0000 0.5000 1
Cu3 0.0053 0.5027 0.0766 1

[18]
# SrTm2Cu (PBE, optimized geometry)
# - formation energy from the elements (eV per atom) = -0.003
# - mass density (g/cm³) = 6.904
# - total magnetic moment (μB per atom) = 0.00
# - crystal system = tetragonal
# - final energy (eV per atom) = -3.683
data_SrTm2Cu
_chemical_formula_sum 'Sr1 Tm2 Cu1'
_symmetry_space_group_name_H-M 'P 4/m m m'
_symmetry_Int_Tables_number 123
_symmetry_space_group_name_Hall '-P 4 2'
_cell_length_a 3.5285
_cell_length_b 3.5285
_cell_length_c 9.4467
_cell_angle_alpha 90.00
_cell_angle_beta 90.00
_cell_angle_gamma 90.00
loop_
_atom_site_label
_atom_site_fract_x
_atom_site_fract_y
_atom_site_fract_z
_atom_site_occupancy
Sr1 0.0000 0.0000 0.0000 1
Tm1 0.5000 0.5000 0.3287 1
Cu1 0.0000 0.0000 0.5000 1

[19]
# SrTmCu (PBE, optimized geometry)
# - formation energy from the elements (eV per atom) = -0.049
# - mass density (g/cm³) = 5.901
# - total magnetic moment (μB per atom) = 0.00
# - crystal system = tetragonal
# - final energy (eV per atom) = -3.465
data_SrTmCu
_chemical_formula_sum 'Sr2 Tm2 Cu2'
_symmetry_space_group_name_H-M 'P 4/n m m'
_symmetry_Int_Tables_number 129
_cell_length_a 4.8281
_cell_length_b 4.8281
_cell_length_c 7.7285
_cell_angle_alpha 90.00
_cell_angle_beta 90.00
_cell_angle_gamma 90.00
loop_
_symmetry_equiv_pos_as_xyz
'x,y,z'
'-x,-y,-z'
'-y+1/2,x,z'
'y+1/2,-x,-z'
'-x+1/2,-y+1/2,z'
'x+1/2,y+1/2,-z'
'y,-x+1/2,z'
'-y,x+1/2,-z'
'x+1/2,-y,-z'
'-x+1/2,y,z'
'-y,-x,-z'
'y,x,z'
'-x,y+1/2,-z'
'x,-y+1/2,z'
'y+1/2,x+1/2,-z'
'-y+1/2,-x+1/2,z'
loop_
_atom_site_label
_atom_site_fract_x
_atom_site_fract_y
_atom_site_fract_z
_atom_site_occupancy
Sr1 0.2500 0.2500 0.1312 1
Tm1 0.2500 0.7500 0.5000 1
Cu1 0.2500 0.2500 0.6981 1

[20]
# SrTmCu2 (PBE, optimized geometry)
# - formation energy from the elements (eV per atom) = -0.048
# - mass density (g/cm³) = 7.015
# - total magnetic moment (μB per atom) = 0.00
# - crystal system = tetragonal
# - final energy (eV per atom) = -3.634
data_SrTmCu2
_chemical_formula_sum 'Sr1 Tm1 Cu2'
_symmetry_space_group_name_H-M 'P 4/m m m'
_symmetry_Int_Tables_number 123
_symmetry_space_group_name_Hall '-P 4 2'
_cell_length_a 5.0996
_cell_length_b 5.0996
_cell_length_c 3.4922
_cell_angle_alpha 90.00
_cell_angle_beta 90.00
_cell_angle_gamma 90.00
loop_
_atom_site_label
_atom_site_fract_x
_atom_site_fract_y
_atom_site_fract_z
_atom_site_occupancy
Sr1 0.0000 0.0000 0.0000 1
Tm1 0.5000 0.5000 0.0000 1
Cu1 0.0000 0.5000 0.5000 1